# 1
Er4MgZr4O14 | GGA-PBE | relaxed

a = 3.476 Å, b = 7.759 Å, c = 11.327 Å
α = 90.00°, β = 90.00°, γ = 90.00°
Sites, in units of the cell vectors:
Er  0.000  0.000  0.000
Er  0.000  0.500  0.485
Er  0.500  0.228  0.725
Er  0.500  0.772  0.725
Mg  0.000  0.500  0.150
Zr  0.000  0.000  0.486
Zr  0.000  0.500  0.903
Zr  0.500  0.217  0.251
Zr  0.500  0.783  0.251
O  0.000  0.229  0.867
O  0.000  0.242  0.378
O  0.000  0.250  0.144
O  0.000  0.277  0.609
O  0.000  0.723  0.609
O  0.000  0.750  0.144
O  0.000  0.758  0.378
O  0.000  0.771  0.867
O  0.500  0.000  0.126
O  0.500  0.000  0.362
O  0.500  0.000  0.595
O  0.500  0.500  0.017
O  0.500  0.500  0.261
O  0.500  0.500  0.780

Results
raw formation energy	-72.536	eV per formula unit

# 2
Er4MgZr4O14 | GGA-PBE | relaxed

a = 6.956 Å, b = 4.213 Å, c = 10.888 Å
α = 90.00°, β = 90.37°, γ = 90.00°
Sites, in units of the cell vectors:
Er  0.000  0.000  0.000
Er  0.245  0.500  0.289
Er  0.500  0.000  0.000
Er  0.755  0.500  0.711
Mg  0.500  0.500  0.000
Zr  0.000  0.000  0.500
Zr  0.242  0.500  0.737
Zr  0.500  0.000  0.500
Zr  0.758  0.500  0.263
O  0.016  0.500  0.140
O  0.023  0.500  0.607
O  0.246  0.000  0.632
O  0.248  0.000  0.378
O  0.257  0.000  0.882
O  0.473  0.500  0.607
O  0.481  0.500  0.162
O  0.519  0.500  0.838
O  0.527  0.500  0.393
O  0.743  0.000  0.118
O  0.752  0.000  0.622
O  0.754  0.000  0.368
O  0.977  0.500  0.393
O  0.984  0.500  0.860

Results
raw formation energy	-60.278	eV per formula unit

# 3
Er2Mg2Os | GGA-PBE | relaxed

a = 10.493 Å, b = 10.493 Å, c = 10.493 Å
α = 161.39°, β = 161.39°, γ = 26.43°
Sites, in units of the cell vectors:
Er  0.080  0.080  0.000
Er  0.920  0.920  0.000
Mg  0.298  0.298  0.000
Mg  0.702  0.702  0.000
Os  0.500  0.500  0.000

# 4
ErMgOs4 | GGA-PBE | relaxed

a = 5.270 Å, b = 5.270 Å, c = 5.270 Å
α = 60.00°, β = 60.00°, γ = 60.00°
Sites, in units of the cell vectors:
Er  0.000  0.000  0.000
Mg  0.250  0.250  0.250
Os  0.126  0.625  0.625
Os  0.625  0.126  0.625
Os  0.625  0.625  0.126
Os  0.625  0.625  0.625

# 5
Er6MgOs2 | GGA-PBE | relaxed

a = 8.467 Å, b = 8.467 Å, c = 8.467 Å
α = 112.86°, β = 112.37°, γ = 103.35°
Sites, in units of the cell vectors:
Er  0.037  0.244  0.793
Er  0.184  0.283  0.468
Er  0.184  0.717  0.901
Er  0.330  0.014  0.683
Er  0.330  0.647  0.317
Er  0.451  0.244  0.207
Er  0.549  0.756  0.793
Er  0.670  0.353  0.683
Er  0.670  0.986  0.317
Er  0.816  0.283  0.099
Er  0.816  0.717  0.532
Er  0.963  0.756  0.207
Mg  0.000  0.000  0.000
Mg  0.500  0.500  0.000
Os  0.123  0.623  0.500
Os  0.315  0.000  0.315
Os  0.685  0.000  0.685
Os  0.877  0.377  0.500

# 6
Er4Mg3Os | GGA-PBE | relaxed

a = 3.455 Å, b = 3.455 Å, c = 16.787 Å
α = 90.00°, β = 90.00°, γ = 90.00°
Sites, in units of the cell vectors:
Er  0.000  0.000  0.096
Er  0.000  0.000  0.367
Er  0.000  0.000  0.633
Er  0.000  0.000  0.904
Mg  0.500  0.500  0.237
Mg  0.500  0.500  0.500
Mg  0.500  0.500  0.763
Os  0.500  0.500  0.000

| no. | E (eV/atom) |
| --- | --- |
| 1 | -8.521 |
| 2 | -7.988 |
| 3 | -4.923 |
| 4 | -8.561 |
| 5 | -5.942 |
| 6 | -4.430 |